Record 1
A crystal of ScAlRu2 relaxed with PBEsol, computed with meta-GGA SCAN.

Values from the calculation:
- Density: 7.638 g/cm³
- Energy: -23.333 eV per atom
- N(E_F): 3.21 states/eV per cell
- Formation enthalpy at 0 K: -163 kJ/mol of formula units

Geometry as POSCAR:
```
ScAlRu2
1.0
-0.2316 -2.5087 -1.8096
2.7763 -2.4132 2.9902
-4.5430 1.2673 1.4830
Sc Ru Al
1 2 1
direct
0.5000 0.0000 0.0000
0.7429 0.7429 0.4857
0.2571 0.2571 0.5143
0.0000 0.5000 0.0000
```

Record 2
A crystal of NbCrN2 relaxed with PBEsol, computed with meta-GGA SCAN.

Values from the calculation:
- Density: 6.214 g/cm³
- Energy: -17.834 eV per atom
- Uncorrected formation energy: -310 meV per atom
- N(E_F): 2.88 states/eV per cell

Geometry as POSCAR:
```
NbCrN2
1.0
3.0014 0.0000 0.0000
1.5007 2.5993 0.0000
1.5007 0.8664 5.9230
Cr Nb N
1 1 2
direct
0.5000 0.5000 0.5000
0.0000 0.0000 0.0000
0.8881 0.8881 0.3358
0.1119 0.1119 0.6642
```

Record 3
A crystal of LaY relaxed with PBEsol, computed with meta-GGA SCAN.

Values from the calculation:
- Density: 5.837 g/cm³
- Energy relative to the lowest polymorph listed for this composition: 0.014 eV/atom
- Energy: -35.446 eV per atom
- N(E_F): 2.71 states/eV per cell
- Formation enthalpy at 0 K: 5 kJ/mol of formula units

Geometry as POSCAR:
```
LaY
1.0
3.6233 0.0000 0.0000
0.0000 3.6233 0.0000
0.0000 0.0000 4.9366
Y La
1 1
direct
0.5000 0.5000 0.5000
0.0000 0.0000 0.0000
```